A plane-wave DFT calculation with GGA-PBE was carried out for an optimized crystal structure of TaFeTe2.

a = 4.890 Å, b = 4.890 Å, c = 4.890 Å
α = 60.00°, β = 60.00°, γ = 60.00°
Positions (direct):
Ta 0.000 0.000 0.000
Fe 0.250 0.250 0.250
Te 0.500 0.500 0.500
Te 0.750 0.750 0.750

Output
The symmetry is F-43m (216).

***

A plane-wave DFT calculation with GGA-PBE was carried out for an optimized crystal structure of PaAlV2.

a = 4.426 Å, b = 4.426 Å, c = 3.397 Å
α = 90.00°, β = 90.00°, γ = 90.00°
Positions (direct):
Pa 0.000 0.000 0.000
Al 0.500 0.500 0.000
V 0.000 0.500 0.500
V 0.500 0.000 0.500

Output
The energy above the most stable polymorph in this dataset comes out at 6.8 kJ per mole of atoms. As for the formation energy from the elements: -0.042 eV/atom. The symmetry is P4/mmm (123).

***

A plane-wave DFT calculation with GGA-PBE was carried out for an optimized crystal structure of Y2FeSb.

a = 4.230 Å, b = 5.965 Å, c = 5.965 Å
α = 40.66°, β = 90.00°, γ = 90.00°
Positions (direct):
Y 0.000 0.000 0.000
Y 0.500 0.289 0.289
Fe 0.500 0.557 0.557
Sb 0.000 0.711 0.711

Output
The symmetry is Amm2 (38).

***

A plane-wave DFT calculation with GGA-PBE was carried out for an optimized crystal structure of PmDyTi.

a = 3.401 Å, b = 4.943 Å, c = 9.886 Å
α = 90.00°, β = 99.84°, γ = 90.00°
Positions (direct):
Pm 0.201 0.250 0.402
Pm 0.799 0.750 0.598
Dy 0.400 0.250 0.798
Dy 0.600 0.750 0.202
Ti 0.032 0.250 0.066
Ti 0.968 0.750 0.934

Output
As for the formation energy from the elements: 0.148 eV/atom. The symmetry is P2_1/m (11).

***

A plane-wave DFT calculation with GGA-PBE was carried out for an optimized crystal structure of TbSm4Sc2.

a = 5.519 Å, b = 6.846 Å, c = 11.816 Å
α = 90.00°, β = 103.54°, γ = 90.00°
Positions (direct):
Tb 0.074 0.250 0.148
Tb 0.926 0.750 0.852
Sm 0.073 0.750 0.144
Sm 0.217 0.250 0.433
Sm 0.355 0.001 0.711
Sm 0.355 0.499 0.711
Sm 0.645 0.501 0.289
Sm 0.645 0.999 0.289
Sm 0.783 0.750 0.567
Sm 0.927 0.250 0.856
Sc 0.211 0.750 0.423
Sc 0.499 0.250 0.999
Sc 0.501 0.750 0.001
Sc 0.789 0.250 0.577

Output
The energy above the most stable polymorph in this dataset comes out at 0.0 kJ per mole of atoms. As for the formation energy from the elements: 0.151 eV/atom. The symmetry is P2_1/m (11).

***

A plane-wave DFT calculation with GGA-PBE was carried out for an optimized crystal structure of NaSrIr2.

a = 4.871 Å, b = 4.871 Å, c = 4.871 Å
α = 60.00°, β = 60.00°, γ = 60.00°
Positions (direct):
Na 0.000 0.000 0.000
Sr 0.500 0.500 0.500
Ir 0.250 0.250 0.250
Ir 0.750 0.750 0.750

Output
The energy above the most stable polymorph in this dataset comes out at 15.2 kJ per mole of atoms. As for the formation energy from the elements: 0.733 eV/atom. The symmetry is Fm-3m (225).

***

A plane-wave DFT calculation with GGA-PBE was carried out for an optimized crystal structure of Na2Ag3As2.

a = 5.585 Å, b = 5.585 Å, c = 7.237 Å
α = 110.70°, β = 110.70°, γ = 46.15°
Positions (direct):
Na 0.145 0.145 0.279
Na 0.855 0.855 0.721
Ag 0.373 0.373 0.061
Ag 0.500 0.500 0.500
Ag 0.627 0.627 0.939
As 0.143 0.143 0.718
As 0.857 0.857 0.282

Output
The energy above the most stable polymorph in this dataset comes out at 0.0 kJ per mole of atoms. As for the formation energy from the elements: -0.134 eV/atom. The symmetry is C2/m (12).

***

A plane-wave DFT calculation with GGA-PBE was carried out for an optimized crystal structure of CsMg2GaNi.

a = 5.197 Å, b = 5.197 Å, c = 4.769 Å
α = 90.00°, β = 90.00°, γ = 90.00°
Positions (direct):
Cs 0.000 0.000 0.000
Mg 0.000 0.500 0.500
Mg 0.500 0.000 0.500
Ga 0.500 0.500 0.000
Ni 0.500 0.500 0.500

Output
As for the formation energy from the elements: 0.036 eV/atom. The symmetry is P4/mmm (123).

***

A plane-wave DFT calculation with GGA-PBE was carried out for an optimized crystal structure of YErCdCo.

a = 3.420 Å, b = 3.420 Å, c = 7.603 Å
α = 90.00°, β = 90.00°, γ = 90.00°
Positions (direct):
Y 0.000 0.000 0.000
Er 0.000 0.000 0.426
Cd 0.500 0.500 0.709
Co 0.500 0.500 0.219

Output
The energy above the most stable polymorph in this dataset comes out at 0.0 kJ per mole of atoms. As for the formation energy from the elements: -0.268 eV/atom. The symmetry is P4mm (99).

***

A plane-wave DFT calculation with GGA-PBE was carried out for an optimized crystal structure of KLa2Au.

a = 7.217 Å, b = 7.217 Å, c = 7.217 Å
α = 150.22°, β = 129.69°, γ = 59.57°
Positions (direct):
K 0.000 0.000 0.000
La 0.301 0.801 0.500
La 0.699 0.199 0.500
Au 0.500 0.500 0.000

Output
The energy above the most stable polymorph in this dataset comes out at 10.1 kJ per mole of atoms. As for the formation energy from the elements: -0.107 eV/atom. The symmetry is Immm (71).

***

A plane-wave DFT calculation with GGA-PBE was carried out for an optimized crystal structure of TaRu2W.

a = 4.992 Å, b = 4.992 Å, c = 4.992 Å
α = 134.48°, β = 134.48°, γ = 66.33°
Positions (direct):
Ta 0.000 0.000 0.000
Ru 0.500 0.500 0.000
Ru 0.750 0.250 0.500
W 0.250 0.750 0.500

Output
The energy above the most stable polymorph in this dataset comes out at 5.8 kJ per mole of atoms. As for the formation energy from the elements: -0.017 eV/atom. The symmetry is I-4m2 (119).

***

A plane-wave DFT calculation with GGA-PBE was carried out for an optimized crystal structure of LiAgHg3.

a = 5.811 Å, b = 5.811 Å, c = 7.596 Å
α = 108.42°, β = 108.42°, γ = 99.72°
Positions (direct):
Li 0.094 0.094 0.362
Li 0.906 0.906 0.638
Ag 0.343 0.657 0.500
Ag 0.657 0.343 0.500
Hg 0.160 0.504 0.779
Hg 0.234 0.234 0.079
Hg 0.496 0.840 0.221
Hg 0.504 0.160 0.779
Hg 0.766 0.766 0.921
Hg 0.840 0.496 0.221

Output
The energy above the most stable polymorph in this dataset comes out at 1.5 kJ per mole of atoms. As for the formation energy from the elements: -0.083 eV/atom. The symmetry is C2/m (12).

***

A plane-wave DFT calculation with GGA-PBE was carried out for an optimized crystal structure of SmI.

a = 4.187 Å, b = 5.089 Å, c = 7.637 Å
α = 90.00°, β = 90.00°, γ = 90.00°
Positions (direct):
Sm 0.250 0.250 0.028
Sm 0.750 0.750 0.972
I 0.250 0.750 0.301
I 0.750 0.250 0.699

Output
The symmetry is Pmmn (59).

***

A plane-wave DFT calculation with GGA-PBE was carried out for an optimized crystal structure of Ca2PAu2.

a = 8.575 Å, b = 8.575 Å, c = 8.575 Å
α = 154.25°, β = 154.25°, γ = 36.74°
Positions (direct):
Ca 0.095 0.095 0.000
Ca 0.905 0.905 0.000
P 0.500 0.500 0.000
Au 0.250 0.750 0.500
Au 0.750 0.250 0.500

Output
The energy above the most stable polymorph in this dataset comes out at 0.0 kJ per mole of atoms. As for the formation energy from the elements: -0.671 eV/atom. The symmetry is I4/mmm (139).

***

A plane-wave DFT calculation with GGA-PBE was carried out for an optimized crystal structure of PaTlAuO4.

a = 7.486 Å, b = 7.486 Å, c = 7.486 Å
α = 126.44°, β = 124.48°, γ = 80.78°
Positions (direct):
Pa 0.000 0.000 0.000
Pa 0.500 0.000 0.500
Tl 0.420 0.670 0.750
Tl 0.580 0.330 0.250
Au 0.000 0.000 0.500
Au 0.000 0.500 0.000
O 0.131 0.195 0.936
O 0.241 0.805 0.436
O 0.273 0.214 0.441
O 0.273 0.832 0.059
O 0.727 0.168 0.941
O 0.727 0.786 0.559
O 0.759 0.195 0.564
O 0.869 0.805 0.064

Output
The symmetry is Imma (74).

***

A plane-wave DFT calculation with GGA-PBE was carried out for an optimized crystal structure of HgPt4.

a = 4.957 Å, b = 4.957 Å, c = 4.957 Å
α = 99.71°, β = 99.71°, γ = 131.50°
Positions (direct):
Hg 0.000 0.000 0.000
Pt 0.195 0.401 0.597
Pt 0.401 0.805 0.206
Pt 0.599 0.195 0.794
Pt 0.805 0.599 0.403

Output
The energy above the most stable polymorph in this dataset comes out at 0.0 kJ per mole of atoms. As for the formation energy from the elements: 0.045 eV/atom. The symmetry is I4/m (87).

***

A plane-wave DFT calculation with GGA-PBE was carried out for an optimized crystal structure of Ho2Er3Th.

a = 8.027 Å, b = 8.027 Å, c = 6.342 Å
α = 90.00°, β = 90.00°, γ = 108.75°
Positions (direct):
Ho 0.006 0.631 0.500
Ho 0.369 0.994 0.500
Ho 0.631 0.006 0.000
Ho 0.994 0.369 0.000
Er 0.114 0.252 0.522
Er 0.252 0.114 0.022
Er 0.414 0.586 0.287
Er 0.586 0.414 0.787
Er 0.748 0.886 0.522
Er 0.886 0.748 0.022
Th 0.329 0.671 0.807
Th 0.671 0.329 0.307

Output
The energy above the most stable polymorph in this dataset comes out at 21.3 kJ per mole of atoms. As for the formation energy from the elements: 0.256 eV/atom. The symmetry is Cmc2_1 (36).

***

A plane-wave DFT calculation with GGA-PBE was carried out for an optimized crystal structure of Zr8InSb2.

a = 7.740 Å, b = 7.740 Å, c = 5.432 Å
α = 101.78°, β = 101.78°, γ = 118.90°
Positions (direct):
Zr 0.090 0.314 0.639
Zr 0.228 0.772 0.000
Zr 0.314 0.090 0.639
Zr 0.410 0.410 0.198
Zr 0.590 0.590 0.802
Zr 0.686 0.910 0.361
Zr 0.772 0.228 0.000
Zr 0.910 0.686 0.361
In 0.000 0.000 0.000
Sb 0.305 0.695 0.500
Sb 0.695 0.305 0.500

Output
The symmetry is C2/m (12).

***

A plane-wave DFT calculation with GGA-PBE was carried out for an optimized crystal structure of KIn6Hg2.

a = 4.637 Å, b = 4.637 Å, c = 12.164 Å
α = 90.00°, β = 90.00°, γ = 90.00°
Positions (direct):
K 0.000 0.000 0.000
In 0.000 0.000 0.500
In 0.000 0.500 0.295
In 0.000 0.500 0.705
In 0.500 0.000 0.295
In 0.500 0.000 0.705
In 0.500 0.500 0.500
Hg 0.500 0.500 0.122
Hg 0.500 0.500 0.878

Output
As for the formation energy from the elements: -0.077 eV/atom. The symmetry is P4/mmm (123).

***

A plane-wave DFT calculation with GGA-PBE was carried out for an optimized crystal structure of BeRhAu2.

a = 8.540 Å, b = 8.540 Å, c = 8.540 Å
α = 19.28°, β = 19.28°, γ = 19.28°
Positions (direct):
Be 0.000 0.000 0.000
Rh 0.500 0.500 0.500
Au 0.261 0.261 0.261
Au 0.739 0.739 0.739

Output
As for the formation energy from the elements: 0.082 eV/atom. The symmetry is R-3m (166).

***

A plane-wave DFT calculation with GGA-PBE was carried out for an optimized crystal structure of Fe3CoOs.

a = 4.184 Å, b = 4.184 Å, c = 4.184 Å
α = 90.00°, β = 90.00°, γ = 90.00°
Positions (direct):
Fe 0.000 0.000 0.500
Fe 0.000 0.500 0.000
Fe 0.500 0.000 0.000
Co 0.000 0.000 0.000
Os 0.500 0.500 0.500

Output
The energy above the most stable polymorph in this dataset comes out at 0.0 kJ per mole of atoms. As for the formation energy from the elements: 1.310 eV/atom. The symmetry is Pm-3m (221).

***

A plane-wave DFT calculation with GGA-PBE was carried out for an optimized crystal structure of Pr2BeSi3Ni4.

a = 4.049 Å, b = 4.049 Å, c = 9.513 Å
α = 90.00°, β = 90.00°, γ = 90.00°
Positions (direct):
Pr 0.000 0.500 0.246
Pr 0.500 0.000 0.754
Be 0.500 0.500 0.000
Si 0.000 0.000 0.000
Si 0.000 0.500 0.628
Si 0.500 0.000 0.372
Ni 0.000 0.000 0.500
Ni 0.000 0.500 0.881
Ni 0.500 0.000 0.119
Ni 0.500 0.500 0.500

Output
The symmetry is P-4m2 (115).

***

A plane-wave DFT calculation with GGA-PBE was carried out for an optimized crystal structure of CuGeW2.

a = 6.782 Å, b = 6.782 Å, c = 6.782 Å
α = 131.26°, β = 131.26°, γ = 71.40°
Positions (direct):
Cu 0.000 0.000 0.000
Cu 0.750 0.250 0.500
Ge 0.250 0.750 0.500
Ge 0.500 0.500 0.000
W 0.099 0.625 0.974
W 0.375 0.349 0.474
W 0.651 0.125 0.026
W 0.875 0.901 0.526

Output
As for the formation energy from the elements: 1.913 eV/atom. The symmetry is I-42d (122).

***

A plane-wave DFT calculation with GGA-PBE was carried out for an optimized crystal structure of Rb2AlSnW.

a = 6.939 Å, b = 6.939 Å, c = 5.058 Å
α = 90.00°, β = 90.00°, γ = 90.00°
Positions (direct):
Rb 0.000 0.500 0.000
Rb 0.500 0.000 0.000
Al 0.000 0.000 0.000
Sn 0.000 0.000 0.500
W 0.500 0.500 0.500

Output
As for the formation energy from the elements: 1.549 eV/atom. The symmetry is P4/mmm (123).

***

A plane-wave DFT calculation with GGA-PBE was carried out for an optimized crystal structure of Zr4NO.

a = 7.293 Å, b = 7.293 Å, c = 5.634 Å
α = 105.15°, β = 105.15°, γ = 126.50°
Positions (direct):
Zr 0.063 0.437 0.748
Zr 0.182 0.300 0.242
Zr 0.300 0.182 0.742
Zr 0.437 0.063 0.248
Zr 0.563 0.937 0.752
Zr 0.700 0.818 0.258
Zr 0.818 0.700 0.758
Zr 0.937 0.563 0.252
N 0.064 0.936 0.250
N 0.936 0.064 0.750
O 0.440 0.560 0.750
O 0.560 0.440 0.250

Output
The energy above the most stable polymorph in this dataset comes out at 8.7 kJ per mole of atoms. The symmetry is C2/c (15).

***

A plane-wave DFT calculation with GGA-PBE was carried out for an optimized crystal structure of Sm3DyTh2Bi6.

a = 10.197 Å, b = 10.197 Å, c = 9.112 Å
α = 102.97°, β = 102.97°, γ = 25.88°
Positions (direct):
Sm 0.000 0.000 0.000
Sm 0.333 0.333 0.666
Sm 0.667 0.667 0.334
Dy 0.000 0.000 0.500
Th 0.335 0.335 0.169
Th 0.665 0.665 0.831
Bi 0.165 0.165 0.580
Bi 0.167 0.167 0.085
Bi 0.499 0.499 0.745
Bi 0.501 0.501 0.255
Bi 0.833 0.833 0.915
Bi 0.835 0.835 0.420

Output
As for the formation energy from the elements: -0.802 eV/atom. The symmetry is C2/m (12).

***

Number 1: total DFT energy (no corrections) -23.34 eV for the cell shown. Number 2: total DFT energy (no corrections) -31.64 eV for the cell shown. Number 3: total DFT energy (no corrections) -27.42 eV for the cell shown. Number 4: total DFT energy (no corrections) -33.61 eV for the cell shown. Number 5: total DFT energy (no corrections) -70.22 eV for the cell shown. Number 6: total DFT energy (no corrections) -17.79 eV for the cell shown. Number 7: total DFT energy (no corrections) -21.43 eV for the cell shown. Number 8: total DFT energy (no corrections) -12.67 eV for the cell shown. Number 9: total DFT energy (no corrections) -20.12 eV for the cell shown. Number 10: total DFT energy (no corrections) -14.66 eV for the cell shown. Number 11: total DFT energy (no corrections) -43.42 eV for the cell shown. Number 12: total DFT energy (no corrections) -12.17 eV for the cell shown. Number 13: total DFT energy (no corrections) -14.98 eV for the cell shown. Number 14: total DFT energy (no corrections) -19.32 eV for the cell shown. Number 15: total DFT energy (no corrections) -95.12 eV for the cell shown. Number 16: total DFT energy (no corrections) -24.24 eV for the cell shown. Number 17: total DFT energy (no corrections) -57.46 eV for the cell shown. Number 18: total DFT energy (no corrections) -81.73 eV for the cell shown. Number 19: total DFT energy (no corrections) -18.83 eV for the cell shown. Number 20: total DFT energy (no corrections) -17.31 eV for the cell shown. Number 21: total DFT energy (no corrections) -37.17 eV for the cell shown. Number 22: total DFT energy (no corrections) -59.35 eV for the cell shown. Number 23: total DFT energy (no corrections) -53.93 eV for the cell shown. Number 24: total DFT energy (no corrections) -14.89 eV for the cell shown. Number 25: total DFT energy (no corrections) -111.72 eV for the cell shown. Number 26: total DFT energy (no corrections) -66.51 eV for the cell shown.